A plane-wave DFT calculation with PBE was carried out for AgSb2Pt2 after structural relaxation.

Summary:
Total energy, eV per cell: -47.2
Calculated volume, Å³ per atom: 22.46

Unit cell a=4.312 b=4.312 c=13.949 alpha=90.00 beta=90.00 gamma=120.00
Fractional coordinates of all 10 atoms:
Pt 0.333 0.667 0.435
Sb 0.333 0.667 0.872
Sb 0.667 0.333 0.372
Pt 0.333 0.667 0.065
Ag 0.000 0.000 0.250
Sb 0.333 0.667 0.628
Pt 0.667 0.333 0.935
Ag 0.000 0.000 0.750
Sb 0.667 0.333 0.128
Pt 0.667 0.333 0.565